This record from the Alexandria database describes a geometry-optimized K2NdF6 structure. The functional is PBE-GGA.

Output
* formation energy from raw total energies: -3.06 eV per atom
* total moment: 1.064 μB per formula unit
* symmetry: C2/m, No. 12

a b c (Å): 7.491 7.491 4.113
angles (deg): 105.80 105.80 49.11
Atoms (fractional coordinates):
K1 0.170 0.170 0.169
K2 0.830 0.830 0.831
Nd1 0.500 0.500 0.500
F1 0.131 0.576 0.354
F2 0.289 0.711 0.000
F3 0.424 0.869 0.646
F4 0.576 0.131 0.354
F5 0.711 0.289 0.000
F6 0.869 0.424 0.646